Entry 1:
UPaW: optimized geometry, PBE-GGA.

Computed properties:
Space group   No. 107
E_form   0.200 eV per atom

Unit cell a=3.5130 b=3.5130 c=9.8806 alpha=90.00 beta=90.00 gamma=90.00
Atoms (fractional coordinates):
U: 0.0000 0.0000 0.0000
U: 0.5000 0.5000 0.5000
Pa: 0.0000 0.0000 0.3477
Pa: 0.5000 0.5000 0.8477
W: 0.0000 0.0000 0.6664
W: 0.5000 0.5000 0.1664

Entry 2:
Pa3Ge4Pd2: optimized geometry, PBE-GGA.

Computed properties:
Space group   No. 71
E_form   -0.358 eV per atom

Unit cell a=8.2806 b=8.2806 c=8.2806 alpha=154.00 beta=128.34 gamma=58.72
Atoms (fractional coordinates):
Pa: 0.0000 0.0000 0.0000
Pa: 0.3456 0.8456 0.5000
Pa: 0.6544 0.1544 0.5000
Ge: 0.0148 0.3422 0.6726
Ge: 0.3305 0.6578 0.6726
Ge: 0.6695 0.3422 0.3274
Ge: 0.9852 0.6578 0.3274
Pd: 0.3180 0.5000 0.8180
Pd: 0.6820 0.5000 0.1820

Entry 3:
CoCuTe2: optimized geometry, PBE-GGA.

Computed properties:
Space group   No. 10
Formation energy (no corrections)   0.32 eV/atom

Unit cell a=3.1292 b=3.6896 c=7.1863 alpha=90.00 beta=90.26 gamma=90.00
Atoms (fractional coordinates):
Co: 0.0000 0.0000 0.0000
Cu: 0.0000 0.0000 0.5000
Te: 0.1951 0.5000 0.2335
Te: 0.8049 0.5000 0.7665

Entry 4:
SrEuTlIn: optimized geometry, PBE-GGA.

Computed properties:
Space group   No. 216
E_form   -0.437 eV per atom

Unit cell a=8.0504 b=8.0504 c=8.0504 alpha=90.00 beta=90.00 gamma=90.00
Atoms (fractional coordinates):
Sr: 0.0000 0.0000 0.0000
Sr: 0.0000 0.5000 0.5000
Sr: 0.5000 0.0000 0.5000
Sr: 0.5000 0.5000 0.0000
Eu: 0.0000 0.0000 0.5000
Eu: 0.0000 0.5000 0.0000
Eu: 0.5000 0.0000 0.0000
Eu: 0.5000 0.5000 0.5000
Tl: 0.2500 0.2500 0.7500
Tl: 0.2500 0.7500 0.2500
Tl: 0.7500 0.2500 0.2500
Tl: 0.7500 0.7500 0.7500
In: 0.2500 0.2500 0.2500
In: 0.2500 0.7500 0.7500
In: 0.7500 0.2500 0.7500
In: 0.7500 0.7500 0.2500

Entry 5:
Ho2ErMgN: optimized geometry, PBE-GGA.

Computed properties:
Space group   No. 123
Formation energy (no corrections)   -0.72 eV/atom

Unit cell a=4.8494 b=4.8494 c=4.8034 alpha=90.00 beta=90.00 gamma=90.00
Atoms (fractional coordinates):
Ho: 0.0000 0.5000 0.0000
Ho: 0.5000 0.0000 0.0000
Er: 0.0000 0.0000 0.5000
Mg: 0.5000 0.5000 0.5000
N: 0.0000 0.0000 0.0000

Entry 6:
TeS2Br2Cl2: optimized geometry, PBE-GGA.

Computed properties:
Space group   No. 12
Formation energy (no corrections)   -0.11 eV/atom

Unit cell a=13.7478 b=4.2826 c=8.9877 alpha=90.00 beta=113.58 gamma=90.00
Atoms (fractional coordinates):
Te: 0.0000 0.0000 0.0000
Te: 0.5000 0.5000 0.0000
S: 0.0745 0.0000 0.5459
S: 0.4255 0.5000 0.4541
S: 0.5745 0.5000 0.5459
S: 0.9255 0.0000 0.4541
Br: 0.1697 0.0000 0.2841
Br: 0.3303 0.5000 0.7159
Br: 0.6697 0.5000 0.2841
Br: 0.8303 0.0000 0.7159
Cl: 0.0797 0.5000 0.8992
Cl: 0.4203 0.0000 0.1008
Cl: 0.5797 0.0000 0.8992
Cl: 0.9203 0.5000 0.1008

Entry 7:
Ca2TmCd2Pd5: optimized geometry, PBE-GGA.

Computed properties:
Space group   No. 127
E_form   -0.590 eV per atom

Unit cell a=10.4821 b=10.4821 c=3.8174 alpha=90.00 beta=90.00 gamma=90.00
Atoms (fractional coordinates):
Ca: 0.1700 0.3300 0.0000
Ca: 0.3300 0.8300 0.0000
Ca: 0.6700 0.1700 0.0000
Ca: 0.8300 0.6700 0.0000
Tm: 0.0000 0.0000 0.0000
Tm: 0.5000 0.5000 0.0000
Cd: 0.1294 0.6294 0.0000
Cd: 0.3706 0.1294 0.0000
Cd: 0.6294 0.8706 0.0000
Cd: 0.8706 0.3706 0.0000
Pd: 0.0000 0.5000 0.5000
Pd: 0.0569 0.8039 0.5000
Pd: 0.1961 0.0569 0.5000
Pd: 0.3039 0.5569 0.5000
Pd: 0.4431 0.3039 0.5000
Pd: 0.5000 0.0000 0.5000
Pd: 0.5569 0.6961 0.5000
Pd: 0.6961 0.4431 0.5000
Pd: 0.8039 0.9431 0.5000
Pd: 0.9431 0.1961 0.5000

Entry 8:
V2AsW: optimized geometry, PBE-GGA.

Computed properties:
Space group   No. 122
E_form   0.541 eV per atom

Unit cell a=6.8627 b=6.8627 c=5.3239 alpha=90.00 beta=90.00 gamma=90.00
Atoms (fractional coordinates):
V: 0.2361 0.2500 0.1250
V: 0.2500 0.7361 0.3750
V: 0.2500 0.7639 0.8750
V: 0.2639 0.2500 0.6250
V: 0.7361 0.7500 0.6250
V: 0.7500 0.2361 0.8750
V: 0.7500 0.2639 0.3750
V: 0.7639 0.7500 0.1250
As: 0.0000 0.0000 0.0000
As: 0.0000 0.5000 0.2500
As: 0.5000 0.0000 0.7500
As: 0.5000 0.5000 0.5000
W: 0.0000 0.0000 0.5000
W: 0.0000 0.5000 0.7500
W: 0.5000 0.0000 0.2500
W: 0.5000 0.5000 0.0000

Entry 9:
KGaP2O: optimized geometry, PBE-GGA.

Computed properties:
Space group   No. 123
Formation energy (no corrections)   1.41 eV/atom

Unit cell a=6.0771 b=6.0771 c=4.6278 alpha=90.00 beta=90.00 gamma=90.00
Atoms (fractional coordinates):
K: 0.0000 0.0000 0.0000
Ga: 0.5000 0.5000 0.5000
P: 0.0000 0.5000 0.0000
P: 0.5000 0.0000 0.0000
O: 0.0000 0.0000 0.5000

| no. | size of the total moment (μB/f.u.) | VASP energy (eV/atom) |
| --- | --- | --- |
| 1 | 0.000 | -11.045 |
| 2 | 0.000 | -6.729 |
| 3 | 1.041 | -4.051 |
| 4 | 7.142 | -4.702 |
| 5 | 0.000 | -5.447 |
| 6 | 1.295 | -2.742 |
| 7 | 0.000 | -4.217 |
| 8 | 0.000 | -8.419 |
| 9 | 4.662 | -2.566 |